16
Lattice="6.558 0.000 0.000 0.000 6.558 0.000 0.000 0.000 6.558" Properties=species:S:1:pos:R:3 comment="PBE BiOs2Cl, optimized geometry" energy_ev_per_cell=-89.51 dos_at_fermi_per_ev_fu=2.68 pbc="T T T"
Bi 0.000 0.000 0.000
Bi 0.000 3.279 3.279
Bi 3.279 0.000 3.279
Bi 3.279 3.279 0.000
Os 1.639 1.639 1.639
Os 1.639 1.639 4.918
Os 1.639 4.918 1.639
Os 1.639 4.918 4.918
Os 4.918 1.639 1.639
Os 4.918 1.639 4.918
Os 4.918 4.918 1.639
Os 4.918 4.918 4.918
Cl 0.000 0.000 3.279
Cl 0.000 3.279 0.000
Cl 3.279 0.000 0.000
Cl 3.279 3.279 3.279

***

10
Lattice="5.466 0.000 0.000 0.000 5.466 0.000 0.000 0.000 7.762" Properties=species:S:1:pos:R:3 comment="PBE Bi2Os2Cl, optimized geometry" energy_ev_per_cell=-58.14 dos_at_fermi_per_ev_fu=5.68 pbc="T T T"
Bi 0.000 2.733 1.940
Bi 0.000 2.733 5.821
Bi 2.733 0.000 1.940
Bi 2.733 0.000 5.821
Os 0.000 0.000 1.124
Os 0.000 0.000 6.638
Os 2.733 2.733 2.757
Os 2.733 2.733 5.005
Cl 0.000 0.000 3.881
Cl 2.733 2.733 0.000

***

16
Lattice="4.664 0.000 0.000 0.000 4.664 0.000 0.000 0.000 15.312" Properties=species:S:1:pos:R:3 comment="PBE BiOs2Cl, optimized geometry" energy_ev_per_cell=-95.80 dos_at_fermi_per_ev_fu=2.55 pbc="T T T"
Bi 0.000 0.000 0.000
Bi 0.000 2.332 3.828
Bi 2.332 0.000 11.484
Bi 2.332 2.332 7.656
Os 0.593 1.166 9.570
Os 1.166 2.925 13.398
Os 1.166 4.072 5.742
Os 1.740 1.166 1.914
Os 2.925 3.498 1.914
Os 3.498 0.593 5.742
Os 3.498 1.740 13.398
Os 4.072 3.498 9.570
Cl 0.000 0.000 7.656
Cl 0.000 2.332 11.484
Cl 2.332 0.000 3.828
Cl 2.332 2.332 0.000

***

5
Lattice="5.383 0.000 0.000 0.000 5.383 0.000 0.000 0.000 5.383" Properties=species:S:1:pos:R:3 comment="PBE Bi3OsCl, optimized geometry" energy_ev_per_cell=-21.93 dos_at_fermi_per_ev_fu=8.58 pbc="T T T"
Bi 0.000 0.000 2.692
Bi 0.000 2.692 0.000
Bi 2.692 0.000 0.000
Os 0.000 0.000 0.000
Cl 2.692 2.692 2.692

***

5
Lattice="4.496 0.000 0.000 0.000 4.496 0.000 0.000 0.000 4.496" Properties=species:S:1:pos:R:3 comment="PBE BiOs3Cl, optimized geometry" energy_ev_per_cell=-29.82 dos_at_fermi_per_ev_fu=5.58 pbc="T T T"
Bi 0.000 0.000 0.000
Os 0.000 2.248 2.248
Os 2.248 0.000 2.248
Os 2.248 2.248 0.000
Cl 2.248 2.248 2.248

***

5
Lattice="5.255 0.000 0.000 0.000 5.255 0.000 0.000 0.000 5.255" Properties=species:S:1:pos:R:3 comment="PBE Bi3OsCl, optimized geometry" energy_ev_per_cell=-16.77 dos_at_fermi_per_ev_fu=3.55 pbc="T T T"
Bi 0.000 0.000 2.628
Bi 0.000 2.628 0.000
Bi 2.628 0.000 0.000
Os 2.628 2.628 2.628
Cl 0.000 0.000 0.000

***

Number 5 is which compound?
BiOs3Cl